Entry P
ScTcIr: relaxed, GGA-PBE.

Output
As for the magnetic moment: 0.00 Bohr magnetons per cell.

abc: 5.408 4.518 8.739
angles: 90.00 111.17 90.00
Fractional coordinates of all 12 atoms:
Sc (0.163, 0.000, 0.873)
Sc (0.163, 0.500, 0.373)
Sc (0.790, 0.000, 0.189)
Sc (0.790, 0.500, 0.689)
Tc (0.579, 0.000, 0.511)
Tc (0.579, 0.500, 0.011)
Tc (0.037, 0.000, 0.549)
Tc (0.037, 0.500, 0.049)
Ir (0.631, 0.000, 0.832)
Ir (0.631, 0.500, 0.332)
Ir (0.289, 0.000, 0.195)
Ir (0.289, 0.500, 0.695)

***

Entry Q
ScTcIr: relaxed, GGA-PBE.

Output
As for the magnetic moment: 0.58 Bohr magnetons per cell.

abc: 4.552 4.552 5.356
angles: 90.00 90.00 120.00
Fractional coordinates of all 6 atoms:
Sc (0.333, 0.667, 0.163)
Sc (0.667, 0.333, 0.837)
Tc (0.000, 0.000, 0.000)
Tc (0.000, 0.000, 0.500)
Ir (0.333, 0.667, 0.656)
Ir (0.667, 0.333, 0.344)

***

Entry R
ScTcIr: relaxed, GGA-PBE.

Output
As for the magnetic moment: 0.00 Bohr magnetons per cell.

abc: 4.430 4.430 2.821
angles: 90.00 90.00 120.00
Fractional coordinates of all 3 atoms:
Ir (0.000, 0.000, 0.002)
Sc (0.667, 0.333, 0.347)
Tc (0.333, 0.667, 0.651)

***

Here is how they stack up, most stable first: entry Q, entry P, entry R.

***

Entry P
Sc3TcIr: relaxed, GGA-PBE.

Output
As for the magnetic moment: 1.67 Bohr magnetons per cell.

abc: 4.934 4.934 4.934
angles: 90.00 90.00 90.00
Fractional coordinates of all 5 atoms:
Sc (0.000, 0.500, 0.000)
Sc (0.000, 0.000, 0.500)
Sc (0.500, 0.000, 0.000)
Ir (0.000, 0.000, 0.000)
Tc (0.500, 0.500, 0.500)

***

Entry Q
Sc3TcIr: relaxed, GGA-PBE.

Output
As for the magnetic moment: 0.00 Bohr magnetons per cell.

abc: 4.783 4.783 4.783
angles: 90.00 90.00 90.00
Fractional coordinates of all 5 atoms:
Sc (0.000, 0.500, 0.000)
Sc (0.000, 0.000, 0.500)
Sc (0.500, 0.000, 0.000)
Ir (0.500, 0.500, 0.500)
Tc (0.000, 0.000, 0.000)

***

Here is how they stack up, most stable first: entry P, entry Q.

***

Entry P
ScTeIr3: relaxed, GGA-PBE.

Output
As for the magnetic moment: 0.00 Bohr magnetons per cell.

abc: 4.830 4.830 4.830
angles: 90.00 90.00 90.00
Fractional coordinates of all 5 atoms:
Sc (0.500, 0.500, 0.500)
Ir (0.000, 0.500, 0.000)
Ir (0.000, 0.000, 0.500)
Ir (0.500, 0.000, 0.000)
Te (0.000, 0.000, 0.000)

***

Entry Q
ScTeIr3: relaxed, GGA-PBE.

Output
As for the magnetic moment: 1.14 Bohr magnetons per cell.

abc: 4.752 4.752 4.752
angles: 90.00 90.00 90.00
Fractional coordinates of all 5 atoms:
Sc (0.000, 0.000, 0.000)
Ir (0.000, 0.500, 0.000)
Ir (0.000, 0.000, 0.500)
Ir (0.500, 0.000, 0.000)
Te (0.500, 0.500, 0.500)

***

Here is how they stack up, most stable first: entry P, entry Q.